The following is a SCAN calculation of a PBEsol-optimized structure of Li2FeTe, from Alexandria via LeMat-Bulk.

```
Li2FeTe
1.0
3.406 0.000 0.000
0.000 3.406 0.000
0.000 0.000 5.676
Li Fe Te
2 1 1
Direct
0.000 0.000 0.000 Li
0.500 0.500 0.249 Li
0.500 0.500 0.740 Fe
0.000 0.000 0.535 Te
```

Formation energy without anion corrections ... -0.076 eV/f.u.
Calculated total energy ... -15.06 eV per atom

---

The following is a SCAN calculation of a PBEsol-optimized structure of LiFe3Te, from Alexandria via LeMat-Bulk.

```
LiFe3Te
1.0
4.707 0.000 0.000
0.000 4.707 0.000
0.000 0.000 4.707
Li Fe Te
1 3 1
Direct
0.000 0.000 0.000 Li
0.000 0.500 0.500 Fe
0.500 0.000 0.500 Fe
0.500 0.500 0.000 Fe
0.500 0.500 0.500 Te
```

Formation energy without anion corrections ... 5.056 eV/f.u.
Calculated total energy ... -17.79 eV per atom

---

The following is a SCAN calculation of a PBEsol-optimized structure of Li2FeTe, from Alexandria via LeMat-Bulk.

```
Li2FeTe
1.0
3.887 0.000 0.000
0.000 3.887 0.000
0.000 0.000 4.081
Li Fe Te
2 1 1
Direct
0.000 0.500 0.000 Li
0.500 0.000 0.000 Li
0.000 0.000 0.500 Fe
0.500 0.500 0.500 Te
```

Formation energy without anion corrections ... -0.912 eV/f.u.
Calculated total energy ... -15.27 eV per atom

---

The following is a SCAN calculation of a PBEsol-optimized structure of Li2FeTe, from Alexandria via LeMat-Bulk.

```
Li2FeTe
1.0
-1.896 1.896 4.300
1.896 -1.896 4.300
1.896 1.896 -4.300
Li Fe Te
2 1 1
Direct
0.250 0.750 0.500 Li
0.750 0.250 0.500 Li
0.000 0.000 0.000 Fe
0.500 0.500 0.000 Te
```

Formation energy without anion corrections ... -0.436 eV/f.u.
Calculated total energy ... -15.15 eV per atom

---

The following is a SCAN calculation of a PBEsol-optimized structure of Li2FeTe, from Alexandria via LeMat-Bulk.

```
Li2FeTe
1.0
0.000 3.059 3.059
3.059 0.000 3.059
3.059 3.059 0.000
Li Fe Te
2 1 1
Direct
0.000 0.000 0.000 Li
0.250 0.250 0.250 Li
0.500 0.500 0.500 Fe
0.750 0.750 0.750 Te
```

Formation energy without anion corrections ... -0.627 eV/f.u.
Calculated total energy ... -15.20 eV per atom

---

The following is a SCAN calculation of a PBEsol-optimized structure of Li2TlFe, from Alexandria via LeMat-Bulk.

```
Li2TlFe
1.0
2.888 0.000 0.000
0.000 3.897 0.000
0.000 0.000 5.840
Li Tl Fe
2 1 1
Direct
0.000 0.000 0.000 Li
0.500 0.500 0.251 Li
0.000 0.000 0.527 Tl
0.500 0.500 0.768 Fe
```

Calculated total energy ... -23.66 eV per atom
DFT formation energy ... 0.1572 eV/atom